No. 1
An optimized crystal structure of CeNp2ScS4, computed with GGA-PBE.

Geometry as POSCAR:
```
CeNp2ScS4
1.0
-3.573 -0.254 1.495
2.388 -3.863 5.050
0.291 6.423 1.786
S Np Ce Sc
4 2 1 1
direct
0.500 0.736 0.750
0.000 0.264 0.759
0.000 0.736 0.241
0.500 0.264 0.250
0.500 0.000 0.500
0.000 0.500 0.500
0.000 0.000 0.000
0.500 0.500 0.000
```

Output
ΔE_f (raw)	-1634	meV/atom
final energy	-8.466	eV per atom
space group	P2/m, No. 10
D(E_F)	2.44	states/eV per atom

No. 2
An optimized crystal structure of CeNpSe2S, computed with GGA-PBE.

Geometry as POSCAR:
```
CeNpSe2S
1.0
4.089 0.000 0.000
-2.045 6.606 0.000
0.000 0.000 9.552
Se Np Ce S
4 2 2 2
direct
0.355 0.710 0.067
0.645 0.290 0.933
0.355 0.710 0.433
0.645 0.290 0.567
0.000 0.000 0.000
0.000 0.000 0.500
0.738 0.476 0.250
0.262 0.524 0.750
0.908 0.815 0.750
0.092 0.185 0.250
```

Output
ΔE_f (raw)	-1572	meV/atom
final energy	-7.566	eV per atom
space group	Cmcm, No. 63
D(E_F)	3.02	states/eV per atom

No. 3
An optimized crystal structure of Sr2CeNpS6, computed with GGA-PBE.

Geometry as POSCAR:
```
Sr2CeNpS6
1.0
6.996 0.000 -0.010
0.000 7.486 0.000
0.048 0.000 10.207
S Sr Ce Np
12 4 2 2
direct
0.884 0.540 0.255
0.187 0.200 0.437
0.687 0.300 0.937
0.803 0.808 0.939
0.116 0.460 0.745
0.813 0.800 0.563
0.616 0.040 0.245
0.384 0.960 0.755
0.697 0.308 0.561
0.303 0.692 0.439
0.197 0.192 0.061
0.313 0.700 0.063
0.973 0.078 0.750
0.527 0.578 0.750
0.027 0.922 0.250
0.473 0.422 0.250
0.000 0.500 0.000
0.500 0.000 0.500
0.500 0.000 0.000
0.000 0.500 0.500
```

Output
ΔE_f (raw)	-1757	meV/atom
final energy	-6.457	eV per atom
space group	P2_1/c, No. 14
D(E_F)	1.53	states/eV per atom

No. 4
An optimized crystal structure of TbCe2NpS4, computed with GGA-PBE.

Geometry as POSCAR:
```
TbCe2NpS4
1.0
3.962 0.000 0.000
0.000 6.872 0.116
0.000 -2.403 6.442
Ce Tb S Np
2 1 4 1
direct
0.500 0.000 0.500
0.000 0.500 0.500
0.500 0.500 0.000
0.000 0.253 0.759
0.500 0.246 0.240
0.000 0.747 0.241
0.500 0.754 0.760
0.000 0.000 0.000
```

Output
ΔE_f (raw)	-1878	meV/atom
final energy	-7.621	eV per atom
space group	P2/m, No. 10
D(E_F)	1.82	states/eV per atom